1.
Below is a geometry-optimized MgBiCl3 structure, with properties calculated at the GGA-PBE level.

Structure (extended XYZ):
```
5
Lattice="-3.2969 -0.8908 -3.5881 -2.6961 -2.7101 3.1502 -2.5296 4.0495 1.3189" Properties=species:S:1:pos:R:3 pbc="T T T"
Mg 0.0000 0.0000 0.0000
Bi -4.2613 0.2243 0.4405
Cl -1.3480 -1.3551 1.5751
Cl -1.2648 2.0248 0.6594
Cl -1.6484 -0.4454 -1.7940
```

Properties
Relative energy among the computed polymorphs, eV per formula unit: 0.00



2.
Below is a geometry-optimized Na2LaPaS4 structure, with properties calculated at the GGA-PBE level.

Structure (extended XYZ):
```
8
Lattice="-0.0620 -3.0422 -2.6753 6.6446 -1.7772 1.8668 -4.6203 -3.5478 4.1415" Properties=species:S:1:pos:R:3 pbc="T T T"
Na -2.3412 -3.2950 0.7331
Na 1.0121 -2.6625 3.0042
La 0.0000 0.0000 0.0000
Pa 3.2913 -2.4097 -0.4043
S 0.6070 -2.8261 0.1315
S 1.3553 -5.5411 3.2015
S -1.7712 -3.1946 3.6737
S 3.7954 -2.1304 2.3346
```



no.,magnetic moment (μB per formula unit),formation energy from raw total energies (eV/atom)
1,0.00,-0.882
2,1.95,-1.620